# CaCrTc2

A relaxed structure of CaCrTc2 (PBE-GGA, Alexandria via LeMat-Bulk).

Structure (POSCAR):
```
CaCrTc2
1.0
-3.978 1.130 3.490
-1.183 -2.526 -4.637
0.358 -2.261 1.140
Ca Cr Tc
1 1 2
Direct
0.500 0.000 0.500
0.000 0.500 0.500
0.500 0.500 0.000
0.000 0.000 0.000
```

The calculation puts the magnetization at 0.4824 μB/atom. As for the energy relative to the lowest polymorph listed for this composition: 537.8 meV/atom. The value obtained for the mass density is 7.33 g/cm3. Its density of states at the Fermi level is 1.2500 states/eV/atom. The calculation puts the formation enthalpy at 0 K at 0.76 eV per atom. Its symmetry is Cmmm. The electronic total energy is -0.2693 hartree per atom.